Entry 1:
ScNb2TeBr: relaxed, PBE-GGA.

E_tot, eV/atom: -5.605
V, Å³ per atom: 23.02
M_tot, μB/atom: 0.000
ρ, g/cm³: 6.3
Formation energy without anion corrections, eV per formula unit: 3.26

Lattice parameters (Å, degrees): 4.8040 4.8040 4.9870 90.00 90.00 90.00
Element x y z (fractional)
Sc  0.0000  0.0000  0.0000
Nb  0.0000  0.5000  0.5000
Nb  0.5000  0.0000  0.5000
Te  0.5000  0.5000  0.0000
Br  0.0000  0.0000  0.5000

***

Entry 2:
YScNbBr2: relaxed, PBE-GGA.

E_tot, eV/atom: -4.765
V, Å³ per atom: 35.60
M_tot, μB/atom: 0.835
ρ, g/cm³: 3.6
Formation energy without anion corrections, eV per formula unit: 2.39

Lattice parameters (Å, degrees): 5.0050 5.0050 7.1062 90.00 90.00 90.00
Element x y z (fractional)
Y  0.0000  0.0000  0.0000
Sc  0.0000  0.0000  0.5000
Nb  0.5000  0.5000  0.0000
Br  0.0000  0.5000  0.5000
Br  0.5000  0.0000  0.5000

***

Entry 3:
Nb2SeBr: relaxed, PBE-GGA.

E_tot, eV/atom: -6.223
V, Å³ per atom: 17.40
M_tot, μB/atom: 0.000
Polymorph energy (0 for the lowest one), meV/atom: 0.0
ρ, g/cm³: 8.2
Formation energy without anion corrections, eV per formula unit: 0.40

Lattice parameters (Å, degrees): 4.6171 4.6171 4.6171 60.00 60.00 60.00
Element x y z (fractional)
Nb  0.2500  0.2500  0.2500
Nb  0.7500  0.7500  0.7500
Se  0.0000  0.0000  0.0000
Br  0.5000  0.5000  0.5000

***

Entry 4:
Nb2SeBr: relaxed, PBE-GGA.

E_tot, eV/atom: -5.885
V, Å³ per atom: 20.90
M_tot, μB/atom: 0.000
Polymorph energy (0 for the lowest one), meV/atom: 338.5
ρ, g/cm³: 6.8
Formation energy without anion corrections, eV per formula unit: 1.76

Lattice parameters (Å, degrees): 6.0412 6.0412 6.0412 105.59 105.59 117.55
Element x y z (fractional)
Nb  0.0876  0.6250  0.9626
Nb  0.3750  0.3376  0.4626
Nb  0.6624  0.1250  0.0374
Nb  0.8750  0.9124  0.5374
Se  0.0000  0.0000  0.0000
Se  0.7500  0.2500  0.5000
Br  0.2500  0.7500  0.5000
Br  0.5000  0.5000  0.0000

***

Entry 5:
NbSeBr2: relaxed, PBE-GGA.

E_tot, eV/atom: -4.911
V, Å³ per atom: 34.92
M_tot, μB/atom: 0.000
Polymorph energy (0 for the lowest one), meV/atom: 0.8
ρ, g/cm³: 3.9
Formation energy without anion corrections, eV per formula unit: -2.74

Lattice parameters (Å, degrees): 7.7462 7.7462 5.2625 92.65 92.65 26.29
Element x y z (fractional)
Nb  0.0000  0.0000  0.0000
Se  0.0000  0.0000  0.4391
Br  0.3718  0.3718  0.9033
Br  0.6281  0.6281  0.9381

***

Entry 6:
NbSeBr3: relaxed, PBE-GGA.

E_tot, eV/atom: -2.899
V, Å³ per atom: 30.96
M_tot, μB/atom: 0.750
ρ, g/cm³: 4.4
Formation energy without anion corrections, eV per formula unit: 4.08

Lattice parameters (Å, degrees): 5.3696 5.3696 5.3696 90.00 90.00 90.00
Element x y z (fractional)
Nb  0.0000  0.0000  0.0000
Se  0.5000  0.5000  0.5000
Br  0.0000  0.5000  0.5000
Br  0.5000  0.0000  0.5000
Br  0.5000  0.5000  0.0000

***

Entry 7:
NbSeBr3: relaxed, PBE-GGA.

E_tot, eV/atom: -3.633
V, Å³ per atom: 27.27
M_tot, μB/atom: 0.000
ρ, g/cm³: 5.0
Formation energy without anion corrections, eV per formula unit: 0.41

Lattice parameters (Å, degrees): 5.1472 5.1472 5.1472 90.00 90.00 90.00
Element x y z (fractional)
Nb  0.0000  0.0000  0.0000
Se  0.5000  0.5000  0.5000
Br  0.0000  0.0000  0.5000
Br  0.0000  0.5000  0.0000
Br  0.5000  0.0000  0.0000

***

Entry 8:
Nb3Se5Br7: relaxed, PBE-GGA.

E_tot, eV/atom: -4.728
V, Å³ per atom: 31.35
M_tot, μB/atom: 0.000
ρ, g/cm³: 4.4
Formation energy without anion corrections, eV per formula unit: -11.58

Lattice parameters (Å, degrees): 8.4731 13.1793 8.8588 90.00 108.07 90.00
Element x y z (fractional)
Nb  0.0224  0.1072  0.0555
Nb  0.0224  0.3928  0.0555
Nb  0.3942  0.2500  0.4715
Nb  0.6058  0.7500  0.5285
Nb  0.9776  0.6072  0.9445
Nb  0.9776  0.8928  0.9445
Se  0.1685  0.0252  0.8598
Se  0.1685  0.4748  0.8598
Se  0.2629  0.5298  0.1214
Se  0.2629  0.9702  0.1214
Se  0.4138  0.2500  0.7357
Se  0.5862  0.7500  0.2643
Se  0.7371  0.0298  0.8786
Se  0.7371  0.4702  0.8786
Se  0.8315  0.5252  0.1402
Se  0.8315  0.9748  0.1402
Br  0.0583  0.7500  0.1879
Br  0.1439  0.1133  0.3899
Br  0.1439  0.3867  0.3899
Br  0.1730  0.7500  0.8641
Br  0.2797  0.2500  0.1202
Br  0.4093  0.6144  0.5504
Br  0.4093  0.8856  0.5504
Br  0.5907  0.1144  0.4496
Br  0.5907  0.3856  0.4496
Br  0.7203  0.7500  0.8798
Br  0.8270  0.2500  0.1359
Br  0.8561  0.6133  0.6101
Br  0.8561  0.8867  0.6101
Br  0.9417  0.2500  0.8121

***

Entry 9:
NbSe2Br: relaxed, PBE-GGA.

E_tot, eV/atom: -5.195
V, Å³ per atom: 23.52
M_tot, μB/atom: 0.000
Polymorph energy (0 for the lowest one), meV/atom: 0.0
ρ, g/cm³: 5.8
Formation energy without anion corrections, eV per formula unit: -2.07

Lattice parameters (Å, degrees): 3.4533 3.4533 9.3236 100.74 100.74 60.03
Element x y z (fractional)
Nb  0.0000  0.0000  0.0000
Se  0.2707  0.2707  0.8135
Se  0.7293  0.7293  0.1865
Br  0.5000  0.5000  0.5000

***

Entry 10:
NbSe2Br: relaxed, PBE-GGA.

E_tot, eV/atom: -5.180
V, Å³ per atom: 24.16
M_tot, μB/atom: 0.000
Polymorph energy (0 for the lowest one), meV/atom: 14.4
ρ, g/cm³: 5.7
Formation energy without anion corrections, eV per formula unit: -2.01

Lattice parameters (Å, degrees): 8.8478 8.8478 8.8478 23.49 23.49 23.49
Element x y z (fractional)
Nb  0.0000  0.0000  0.0000
Se  0.3958  0.3958  0.3958
Se  0.6042  0.6042  0.6042
Br  0.5000  0.5000  0.5000

***

Entry 11:
NbSe2Br2: relaxed, PBE-GGA.

E_tot, eV/atom: -3.939
V, Å³ per atom: 31.62
M_tot, μB/atom: 0.227
Polymorph energy (0 for the lowest one), meV/atom: 893.6
ρ, g/cm³: 4.3
Formation energy without anion corrections, eV per formula unit: 0.69

Lattice parameters (Å, degrees): 6.9957 6.9957 6.4601 90.00 90.00 90.00
Element x y z (fractional)
Nb  0.0000  0.0000  0.0000
Nb  0.5000  0.5000  0.0000
Se  0.1127  0.3873  0.5000
Se  0.3873  0.8873  0.5000
Se  0.6127  0.1127  0.5000
Se  0.8873  0.6127  0.5000
Br  0.1751  0.6751  0.0000
Br  0.3249  0.1751  0.0000
Br  0.6751  0.8249  0.0000
Br  0.8249  0.3249  0.0000

***

Entry 12:
Nb7SeBr12: relaxed, PBE-GGA.

E_tot, eV/atom: -5.156
V, Å³ per atom: 26.45
M_tot, μB/atom: 0.156
ρ, g/cm³: 5.3
Formation energy without anion corrections, eV per formula unit: -9.08

Lattice parameters (Å, degrees): 8.7381 8.7381 8.7381 108.63 108.63 108.63
Element x y z (fractional)
Nb  0.0000  0.0000  0.0000
Nb  0.2190  0.5287  0.4420
Nb  0.4420  0.2190  0.5287
Nb  0.4713  0.5580  0.7810
Nb  0.5287  0.4420  0.2190
Nb  0.5580  0.7811  0.4713
Nb  0.7810  0.4713  0.5580
Se  0.5000  0.5000  0.5000
Br  0.0736  0.1497  0.3559
Br  0.1497  0.3559  0.0736
Br  0.1701  0.6017  0.7381
Br  0.2619  0.8299  0.3983
Br  0.3559  0.0736  0.1497
Br  0.3983  0.2619  0.8299
Br  0.6017  0.7381  0.1701
Br  0.6441  0.9264  0.8503
Br  0.7381  0.1701  0.6017
Br  0.8299  0.3983  0.2619
Br  0.8503  0.6441  0.9264
Br  0.9264  0.8503  0.6441

***

Entry 13:
NbSe2Br2: relaxed, PBE-GGA.

E_tot, eV/atom: -4.832
V, Å³ per atom: 29.02
M_tot, μB/atom: 0.000
Polymorph energy (0 for the lowest one), meV/atom: 0.0
ρ, g/cm³: 4.7
Formation energy without anion corrections, eV per formula unit: -3.78

Lattice parameters (Å, degrees): 6.7730 6.8065 7.9972 68.29 68.91 60.25
Element x y z (fractional)
Nb  0.1257  0.2479  0.0001
Nb  0.8743  0.7521  0.9999
Se  0.0726  0.5900  0.6971
Se  0.2583  0.4636  0.1227
Se  0.7417  0.5364  0.8773
Se  0.9274  0.4100  0.3029
Br  0.1608  0.9793  0.7873
Br  0.4240  0.8528  0.2129
Br  0.5760  0.1472  0.7871
Br  0.8392  0.0207  0.2127

***

Entry 14:
NbSeBr2: relaxed, PBE-GGA.

E_tot, eV/atom: -4.675
V, Å³ per atom: 28.97
M_tot, μB/atom: 0.250
Polymorph energy (0 for the lowest one), meV/atom: 236.6
ρ, g/cm³: 4.8
Formation energy without anion corrections, eV per formula unit: -1.80

Lattice parameters (Å, degrees): 7.2573 7.2573 7.2573 96.79 96.79 139.78
Element x y z (fractional)
Nb  0.0000  0.0000  0.0000
Nb  0.7500  0.2500  0.5000
Se  0.2500  0.7500  0.5000
Se  0.5000  0.5000  0.0000
Br  0.3750  0.2356  0.3606
Br  0.7644  0.1250  0.1394
Br  0.8750  0.0144  0.6394
Br  0.9856  0.6250  0.8606

***

Entry 15:
NbSeBr2: relaxed, PBE-GGA.

E_tot, eV/atom: -4.912
V, Å³ per atom: 30.81
M_tot, μB/atom: 0.000
Polymorph energy (0 for the lowest one), meV/atom: 0.0
ρ, g/cm³: 4.5
Formation energy without anion corrections, eV per formula unit: -2.75

Lattice parameters (Å, degrees): 7.3027 7.3027 7.3027 152.09 51.87 137.20
Element x y z (fractional)
Nb  0.0000  0.0000  0.0000
Se  0.5672  0.5672  0.0000
Br  0.2307  0.5844  0.6462
Br  0.9382  0.5844  0.3538

***

Entry 16:
NbSeBr3: relaxed, PBE-GGA.

E_tot, eV/atom: -4.545
V, Å³ per atom: 32.52
M_tot, μB/atom: 0.000
ρ, g/cm³: 4.2
Formation energy without anion corrections, eV per formula unit: -4.15

Lattice parameters (Å, degrees): 6.9609 7.3686 12.8153 90.00 98.32 90.00
Element x y z (fractional)
Nb  0.0703  0.1278  0.1504
Nb  0.0703  0.8722  0.6504
Nb  0.9297  0.1278  0.3496
Nb  0.9297  0.8722  0.8496
Se  0.1559  0.3839  0.2980
Se  0.1559  0.6161  0.7980
Se  0.8441  0.3839  0.2020
Se  0.8441  0.6161  0.7020
Br  0.1470  0.1788  0.5379
Br  0.1470  0.8212  0.0379
Br  0.2405  0.0712  0.8036
Br  0.2405  0.9288  0.3036
Br  0.3593  0.2681  0.0797
Br  0.3593  0.7319  0.5797
Br  0.6407  0.2681  0.4203
Br  0.6407  0.7319  0.9203
Br  0.7595  0.0712  0.6964
Br  0.7595  0.9288  0.1964
Br  0.8530  0.1788  0.9621
Br  0.8530  0.8212  0.4621

***

Entry 17:
NbSe2Br2: relaxed, PBE-GGA.

E_tot, eV/atom: -4.830
V, Å³ per atom: 29.04
M_tot, μB/atom: 0.000
Polymorph energy (0 for the lowest one), meV/atom: 2.0
ρ, g/cm³: 4.7
Formation energy without anion corrections, eV per formula unit: -3.77

Lattice parameters (Å, degrees): 6.8062 6.8062 7.8108 100.53 100.53 120.36
Element x y z (fractional)
Nb  0.1263  0.8737  0.0000
Nb  0.8737  0.1263  0.0000
Se  0.1394  0.1394  0.3020
Se  0.3446  0.3446  0.1223
Se  0.6554  0.6554  0.8777
Se  0.8606  0.8606  0.6980
Br  0.0110  0.4275  0.7874
Br  0.4275  0.0110  0.7874
Br  0.5725  0.9890  0.2126
Br  0.9890  0.5725  0.2126

***

Entry 18:
NbSe2Br: relaxed, PBE-GGA.

E_tot, eV/atom: -4.891
V, Å³ per atom: 31.43
M_tot, μB/atom: 0.000
Polymorph energy (0 for the lowest one), meV/atom: 304.0
ρ, g/cm³: 4.4
Formation energy without anion corrections, eV per formula unit: -0.85

Lattice parameters (Å, degrees): 7.1474 7.1474 7.1474 121.64 121.64 87.18
Element x y z (fractional)
Nb  0.0000  0.0000  0.0000
Nb  0.7500  0.2500  0.5000
Se  0.0377  0.6250  0.9127
Se  0.3750  0.2877  0.4127
Se  0.7123  0.1250  0.0873
Se  0.8750  0.9623  0.5873
Br  0.2500  0.7500  0.5000
Br  0.5000  0.5000  0.0000

***

Entry 19:
NbSe2Br: relaxed, PBE-GGA.

E_tot, eV/atom: -4.333
V, Å³ per atom: 24.54
M_tot, μB/atom: 0.000
Polymorph energy (0 for the lowest one), meV/atom: 862.0
ρ, g/cm³: 5.6
Formation energy without anion corrections, eV per formula unit: 1.38

Lattice parameters (Å, degrees): 13.2194 13.2194 13.2194 12.77 12.77 12.77
Element x y z (fractional)
Nb  0.0000  0.0000  0.0000
Se  0.0674  0.0674  0.0674
Se  0.9326  0.9326  0.9326
Br  0.5000  0.5000  0.5000

***

Entry 20:
NbSeBr2: relaxed, PBE-GGA.

E_tot, eV/atom: -3.822
V, Å³ per atom: 20.52
M_tot, μB/atom: 0.196
Polymorph energy (0 for the lowest one), meV/atom: 1089.6
ρ, g/cm³: 6.7
Formation energy without anion corrections, eV per formula unit: 1.61

Lattice parameters (Å, degrees): 4.8783 4.8783 4.8783 60.00 60.00 60.00
Element x y z (fractional)
Nb  0.0000  0.0000  0.0000
Se  0.5000  0.5000  0.5000
Br  0.2500  0.2500  0.2500
Br  0.7500  0.7500  0.7500